The following is a DFT calculation (PBE) of a geometry-optimized YCd2Pd structure.

Cell: 4.9152 4.9152 4.9152 Å, 60.00 60.00 60.00°
Fractional coordinates of all 4 atoms:
Y: 0.0000 0.0000 0.0000
Cd: 0.5000 0.5000 0.5000
Cd: 0.7500 0.7500 0.7500
Pd: 0.2500 0.2500 0.2500

Summary:
Calculated density: 8.309 g/cm3
SG: F-43m (216)
Energy relative to the elements: -0.4768 eV/atom

=====

The following is a DFT calculation (PBE) of a geometry-optimized Sb2PtO4 structure.

Cell: 6.7442 6.7442 6.7442 Å, 60.00 60.00 60.00°
Fractional coordinates of all 14 atoms:
Sb: 0.0000 0.0000 0.0000
Sb: 0.0000 0.0000 0.5000
Sb: 0.0000 0.5000 0.0000
Sb: 0.5000 0.0000 0.0000
Pt: 0.3750 0.3750 0.3750
Pt: 0.6250 0.6250 0.6250
O: 0.2280 0.7573 0.7573
O: 0.2427 0.2427 0.2427
O: 0.2427 0.2427 0.7720
O: 0.2427 0.7720 0.2427
O: 0.7573 0.2280 0.7573
O: 0.7573 0.7573 0.2280
O: 0.7573 0.7573 0.7573
O: 0.7720 0.2427 0.2427

Summary:
Calculated density: 7.695 g/cm3
SG: Fd-3m (227)
Uncorrected energy: -5.264 eV per atom

=====

The following is a DFT calculation (PBE) of a geometry-optimized Na2AgSnF7 structure.

Cell: 10.6694 6.8783 7.9814 Å, 90.00 90.00 90.00°
Fractional coordinates of all 44 atoms:
Na: 0.0000 0.0000 0.0000
Na: 0.0000 0.5000 0.0000
Na: 0.2347 0.2500 0.2530
Na: 0.2653 0.7500 0.7530
Na: 0.5000 0.0000 0.5000
Na: 0.5000 0.5000 0.5000
Na: 0.7347 0.2500 0.2470
Na: 0.7653 0.7500 0.7470
Ag: 0.0000 0.0000 0.5000
Ag: 0.0000 0.5000 0.5000
Ag: 0.5000 0.0000 0.0000
Ag: 0.5000 0.5000 0.0000
Sn: 0.2495 0.7500 0.2551
Sn: 0.2505 0.2500 0.7551
Sn: 0.7495 0.7500 0.2449
Sn: 0.7505 0.2500 0.7449
F: 0.0043 0.2500 0.3156
F: 0.1266 0.5457 0.2002
F: 0.1266 0.9543 0.2002
F: 0.1342 0.0350 0.8058
F: 0.1342 0.4650 0.8058
F: 0.2032 0.2500 0.5174
F: 0.2061 0.7500 0.4950
F: 0.2939 0.2500 0.9950
F: 0.2968 0.7500 0.0174
F: 0.3658 0.5350 0.3058
F: 0.3658 0.9650 0.3058
F: 0.3734 0.0457 0.7002
F: 0.3734 0.4543 0.7002
F: 0.4957 0.7500 0.8156
F: 0.5043 0.2500 0.1844
F: 0.6266 0.5457 0.2998
F: 0.6266 0.9543 0.2998
F: 0.6342 0.0350 0.6942
F: 0.6342 0.4650 0.6942
F: 0.7032 0.2500 0.9826
F: 0.7061 0.7500 0.0050
F: 0.7939 0.2500 0.5050
F: 0.7968 0.7500 0.4826
F: 0.8658 0.5350 0.1942
F: 0.8658 0.9650 0.1942
F: 0.8734 0.0457 0.7998
F: 0.8734 0.4543 0.7998
F: 0.9957 0.7500 0.6844

Summary:
Calculated density: 4.599 g/cm3
SG: Pnma (62)
Uncorrected energy: -4.307 eV per atom

=====

The following is a DFT calculation (PBE) of a geometry-optimized K2NaCoC6N6 structure.

Cell: 6.9453 7.4552 12.2391 Å, 90.00 123.83 90.00°
Fractional coordinates of all 32 atoms:
K: 0.2216 0.0789 0.2476
K: 0.2216 0.4211 0.7476
K: 0.7784 0.5789 0.2524
K: 0.7784 0.9211 0.7524
Na: 0.0000 0.0000 0.5000
Na: 0.0000 0.5000 0.0000
Co: 0.5000 0.0000 0.0000
Co: 0.5000 0.5000 0.5000
C: 0.2409 0.1309 0.9622
C: 0.2409 0.3691 0.4622
C: 0.3258 0.7103 0.4525
C: 0.3258 0.7897 0.9525
C: 0.4126 0.0273 0.8268
C: 0.4126 0.4727 0.3268
C: 0.5874 0.5273 0.6732
C: 0.5874 0.9727 0.1732
C: 0.6742 0.2103 0.0475
C: 0.6742 0.2897 0.5475
C: 0.7591 0.6309 0.5378
C: 0.7591 0.8691 0.0378
N: 0.0747 0.2119 0.9355
N: 0.0747 0.2881 0.4355
N: 0.2128 0.6588 0.9216
N: 0.2128 0.8412 0.4216
N: 0.3568 0.0484 0.7177
N: 0.3568 0.4516 0.2177
N: 0.6432 0.5484 0.7823
N: 0.6432 0.9516 0.2823
N: 0.7872 0.1588 0.5784
N: 0.7872 0.3412 0.0784
N: 0.9253 0.7119 0.5645
N: 0.9253 0.7881 0.0645

Summary:
Calculated density: 1.995 g/cm3
SG: P2_1/c (14)
Uncorrected energy: -7.383 eV per atom

=====

The following is a DFT calculation (PBE) of a geometry-optimized NbPtNO structure.

Cell: 4.2080 4.2080 5.5851 Å, 90.00 90.00 90.00°
Fractional coordinates of all 8 atoms:
Nb: 0.2500 0.7500 0.0000
Nb: 0.7500 0.2500 0.0000
Pt: 0.2500 0.2500 0.3252
Pt: 0.7500 0.7500 0.6748
N: 0.2500 0.2500 0.9436
N: 0.7500 0.7500 0.0564
O: 0.2500 0.7500 0.5000
O: 0.7500 0.2500 0.5000

Summary:
Calculated density: 10.679 g/cm3
Energy above the most stable polymorph in this dataset: 676 meV per atom
SG: P4/nmm (129)

=====

The following is a DFT calculation (PBE) of a geometry-optimized Ta4GeB3 structure.

Cell: 3.2664 3.2664 23.4267 Å, 90.00 90.00 120.00°
Fractional coordinates of all 16 atoms:
Ta: 0.0000 0.0000 0.1650
Ta: 0.0000 0.0000 0.3350
Ta: 0.0000 0.0000 0.6650
Ta: 0.0000 0.0000 0.8350
Ta: 0.3333 0.6667 0.0554
Ta: 0.3333 0.6667 0.4446
Ta: 0.6667 0.3333 0.5554
Ta: 0.6667 0.3333 0.9446
Ge: 0.3333 0.6667 0.2500
Ge: 0.6667 0.3333 0.7500
B: 0.0000 0.0000 0.0000
B: 0.0000 0.0000 0.5000
B: 0.3333 0.6667 0.6132
B: 0.3333 0.6667 0.8868
B: 0.6667 0.3333 0.1132
B: 0.6667 0.3333 0.3868

Summary:
Calculated density: 12.717 g/cm3
SG: P6_3/mmc (194)
Uncorrected energy: -9.599 eV per atom

=====

The following is a DFT calculation (PBE) of a geometry-optimized YPuSn structure.

Cell: 5.1314 5.1314 5.1314 Å, 60.00 60.00 60.00°
Fractional coordinates of all 3 atoms:
Y: 0.0000 0.0000 0.0000
Pu: 0.7500 0.7500 0.7500
Sn: 0.2500 0.2500 0.2500

Summary:
Calculated density: 7.849 g/cm3
Energy above the most stable polymorph in this dataset: 0 meV per atom
SG: F-43m (216)

=====

The following is a DFT calculation (PBE) of a geometry-optimized BaTcTe structure.

Cell: 5.5365 5.5365 5.5365 Å, 60.00 60.00 60.00°
Fractional coordinates of all 3 atoms:
Ba: 0.0000 0.0000 0.0000
Tc: 0.7500 0.7500 0.7500
Te: 0.2500 0.2500 0.2500

Summary:
Calculated density: 5.022 g/cm3
Energy above the most stable polymorph in this dataset: 687 meV per atom
SG: F-43m (216)

=====

The following is a DFT calculation (PBE) of a geometry-optimized NbFeAsOs structure.

Cell: 4.3766 4.3766 4.3766 Å, 60.00 60.00 60.00°
Fractional coordinates of all 4 atoms:
Nb: 0.0000 0.0000 0.0000
Fe: 0.7500 0.7500 0.7500
As: 0.5000 0.5000 0.5000
Os: 0.2500 0.2500 0.2500

Summary:
Calculated density: 11.594 g/cm3
Energy above the most stable polymorph in this dataset: 0 meV per atom
SG: F-43m (216)

=====

The following is a DFT calculation (PBE) of a geometry-optimized RbHoTl structure.

Cell: 5.5904 5.5904 5.5904 Å, 60.00 60.00 60.00°
Fractional coordinates of all 3 atoms:
Rb: 0.0000 0.0000 0.0000
Ho: 0.5000 0.5000 0.5000
Tl: 0.7500 0.7500 0.7500

Summary:
Calculated density: 6.113 g/cm3
Energy above the most stable polymorph in this dataset: 0 meV per atom
SG: F-43m (216)

=====

The following is a DFT calculation (PBE) of a geometry-optimized NaSrAu2 structure.

Cell: 5.1101 5.1101 3.9013 Å, 90.00 90.00 90.00°
Fractional coordinates of all 4 atoms:
Na: 0.0000 0.0000 0.0000
Sr: 0.5000 0.5000 0.0000
Au: 0.0000 0.5000 0.5000
Au: 0.5000 0.0000 0.5000

Summary:
Calculated density: 8.224 g/cm3
Energy above the most stable polymorph in this dataset: 30 meV per atom
SG: P4/mmm (123)

=====

The following is a DFT calculation (PBE) of a geometry-optimized SrLaPd2 structure.

Cell: 4.6437 5.9621 5.9621 Å, 39.09 90.00 90.00°
Fractional coordinates of all 4 atoms:
Sr: 0.0000 0.0000 0.0000
La: 0.5000 0.2720 0.2720
Pd: 0.0000 0.7245 0.7245
Pd: 0.5000 0.5622 0.5622

Summary:
Calculated density: 7.010 g/cm3
SG: Amm2 (38)
Uncorrected energy: -4.955 eV per atom

=====

The following is a DFT calculation (PBE) of a geometry-optimized ZnGe2W structure.

Cell: 4.5370 4.5370 4.5370 Å, 60.00 60.00 60.00°
Fractional coordinates of all 4 atoms:
Zn: 0.0000 0.0000 0.0000
Ge: 0.2500 0.2500 0.2500
Ge: 0.5000 0.5000 0.5000
W: 0.7500 0.7500 0.7500

Summary:
Calculated density: 9.920 g/cm3
SG: F-43m (216)
Uncorrected energy: -5.125 eV per atom

=====

The following is a DFT calculation (PBE) of a geometry-optimized FeBPdPt structure.

Cell: 4.1645 4.1645 4.1645 Å, 60.00 60.00 60.00°
Fractional coordinates of all 4 atoms:
Fe: 0.0000 0.0000 0.0000
B: 0.7500 0.7500 0.7500
Pd: 0.2500 0.2500 0.2500
Pt: 0.5000 0.5000 0.5000

Summary:
Calculated density: 11.971 g/cm3
Energy above the most stable polymorph in this dataset: 0 meV per atom
SG: F-43m (216)

=====

The following is a DFT calculation (PBE) of a geometry-optimized DyAl2Hg structure.

Cell: 4.6844 6.5171 6.5171 Å, 57.87 90.00 90.00°
Fractional coordinates of all 8 atoms:
Dy: 0.0000 0.0000 0.0000
Dy: 0.5000 0.3514 0.3514
Al: 0.0000 0.5302 0.9768
Al: 0.0000 0.5374 0.5374
Al: 0.0000 0.9768 0.5302
Al: 0.5000 0.8251 0.8251
Hg: 0.5000 0.3535 0.8511
Hg: 0.5000 0.8511 0.3535

Summary:
Calculated density: 8.221 g/cm3
Energy above the most stable polymorph in this dataset: 0 meV per atom
SG: Amm2 (38)

=====

The following is a DFT calculation (PBE) of a geometry-optimized DyTlGe structure.

Cell: 4.9577 4.9577 4.9577 Å, 60.00 60.00 60.00°
Fractional coordinates of all 3 atoms:
Dy: 0.0000 0.0000 0.0000
Tl: 0.2500 0.2500 0.2500
Ge: 0.7500 0.7500 0.7500

Summary:
Calculated density: 8.471 g/cm3
Energy above the most stable polymorph in this dataset: 0 meV per atom
SG: F-43m (216)

=====

The following is a DFT calculation (PBE) of a geometry-optimized Nd8Sb2S15 structure.

Cell: 14.8860 14.8860 14.8860 Å, 116.44 116.44 96.28°
Fractional coordinates of all 100 atoms:
Nd: 0.0345 0.5406 0.2058
Nd: 0.0723 0.7282 0.0707
Nd: 0.0786 0.0847 0.2942
Nd: 0.1527 0.5196 0.6723
Nd: 0.1575 0.2282 0.6558
Nd: 0.2304 0.4027 0.1330
Nd: 0.2516 0.4075 0.4293
Nd: 0.2663 0.1365 0.1712
Nd: 0.2696 0.0973 0.8670
Nd: 0.2906 0.5847 0.0061
Nd: 0.3347 0.8286 0.7942
Nd: 0.3451 0.7154 0.3288
Nd: 0.3473 0.0196 0.3670
Nd: 0.3865 0.0163 0.6712
Nd: 0.4654 0.6365 0.8703
Nd: 0.4782 0.9075 0.1558
Nd: 0.5345 0.3286 0.4939
Nd: 0.5723 0.5016 0.3442
Nd: 0.5786 0.2845 0.9939
Nd: 0.6527 0.9804 0.6330
Nd: 0.6575 0.0016 0.9293
Nd: 0.7304 0.5973 0.8277
Nd: 0.7516 0.3223 0.8442
Nd: 0.7663 0.5951 0.1297
Nd: 0.7696 0.9027 0.1723
Nd: 0.7906 0.7845 0.7058
Nd: 0.8347 0.0406 0.5061
Nd: 0.8451 0.5163 0.6297
Nd: 0.8473 0.4804 0.3277
Nd: 0.8865 0.2154 0.3703
Nd: 0.9654 0.0951 0.8288
Nd: 0.9782 0.8223 0.5707
Sb: 0.0659 0.8862 0.3876
Sb: 0.1362 0.8159 0.8876
Sb: 0.4283 0.3159 0.6797
Sb: 0.4986 0.6783 0.6124
Sb: 0.5659 0.1783 0.1797
Sb: 0.6362 0.7486 0.3203
Sb: 0.9283 0.2486 0.1124
Sb: 0.9986 0.3862 0.8203
S: 0.0157 0.9036 0.8069
S: 0.0287 0.4195 0.3176
S: 0.0515 0.0607 0.6770
S: 0.0678 0.5559 0.8303
S: 0.0967 0.2088 0.1931
S: 0.1019 0.7111 0.6824
S: 0.1244 0.3015 0.4908
S: 0.1469 0.5600 0.0904
S: 0.1522 0.9558 0.1502
S: 0.1536 0.7657 0.3069
S: 0.1695 0.3519 0.8908
S: 0.1838 0.1838 0.0000
S: 0.2058 0.9022 0.6502
S: 0.2256 0.0559 0.4881
S: 0.2520 0.5556 0.3498
S: 0.3056 0.4558 0.8036
S: 0.3059 0.9756 0.9881
S: 0.3065 0.2196 0.4096
S: 0.3084 0.6084 0.6471
S: 0.3100 0.7196 0.9131
S: 0.3107 0.8015 0.1770
S: 0.3584 0.2113 0.7999
S: 0.3837 0.3744 0.3230
S: 0.4114 0.5584 0.2001
S: 0.4338 0.9338 0.5000
S: 0.4588 0.8467 0.6931
S: 0.4613 0.1084 0.2999
S: 0.4611 0.2787 0.1092
S: 0.4696 0.0565 0.9096
S: 0.4876 0.4756 0.6697
S: 0.5157 0.7088 0.1121
S: 0.5287 0.2111 0.6092
S: 0.5515 0.8744 0.9908
S: 0.5678 0.7376 0.5119
S: 0.5967 0.4036 0.8879
S: 0.6019 0.9195 0.3908
S: 0.6244 0.1337 0.8230
S: 0.6469 0.5565 0.5869
S: 0.6522 0.5020 0.1964
S: 0.6536 0.3467 0.3879
S: 0.6695 0.7787 0.8176
S: 0.6838 0.6838 0.0000
S: 0.7058 0.0556 0.3036
S: 0.7256 0.2376 0.1697
S: 0.7520 0.4022 0.6964
S: 0.8056 0.0020 0.8498
S: 0.8059 0.8178 0.3303
S: 0.8065 0.3969 0.0869
S: 0.8084 0.1614 0.7001
S: 0.8100 0.8969 0.5904
S: 0.8107 0.6337 0.5092
S: 0.8584 0.0584 0.1471
S: 0.8837 0.5607 0.0092
S: 0.9114 0.7113 0.8529
S: 0.9338 0.4338 0.5000
S: 0.9588 0.2657 0.6121
S: 0.9613 0.6614 0.3529
S: 0.9611 0.8519 0.1824
S: 0.9696 0.0600 0.4131
S: 0.9876 0.3178 0.0119

Summary:
Calculated density: 5.109 g/cm3
SG: I4_1cd (110)
Uncorrected energy: -6.035 eV per atom

=====

The following is a DFT calculation (PBE) of a geometry-optimized CuAg7 structure.

Cell: 9.5925 9.5925 5.0319 Å, 94.82 94.82 17.32°
Fractional coordinates of all 8 atoms:
Cu: 0.0000 0.0000 0.0000
Ag: 0.1234 0.1234 0.3715
Ag: 0.2488 0.2488 0.7512
Ag: 0.3803 0.3803 0.1222
Ag: 0.5000 0.5000 0.5000
Ag: 0.6197 0.6197 0.8778
Ag: 0.7512 0.7512 0.2488
Ag: 0.8766 0.8766 0.6285

Summary:
Calculated density: 9.897 g/cm3
Energy above the most stable polymorph in this dataset: 15 meV per atom
SG: C2/m (12)
Energy relative to the elements: 0.0390 eV/atom